# 1
{"formula": "Pm5YSi4", "functional": "PBE", "state": "relaxed", "e_form_raw_ev_per_atom": -0.51, "total_magnetization_mub_per_fu": 0.00, "crystal_system": "monoclinic", "lattice": [[7.753, -2.517, 0.000], [7.753, 2.517, 0.000], [-0.069, 0.000, 6.920]], "species": ["Pm", "Pm", "Pm", "Pm", "Pm", "Y", "Si", "Si", "Si", "Si"], "fractional_positions": [[0.000, 0.000, 0.000], [0.334, 0.334, 0.492], [0.336, 0.336, 0.003], [0.664, 0.664, 0.997], [0.666, 0.666, 0.508], [0.000, 0.000, 0.500], [0.176, 0.176, 0.750], [0.492, 0.492, 0.742], [0.508, 0.508, 0.258], [0.824, 0.824, 0.250]]}


# 2
{"formula": "CaNb2CrS", "functional": "PBE", "state": "relaxed", "e_form_raw_ev_per_atom": 2.36, "total_magnetization_mub_per_fu": 0.70, "crystal_system": "tetragonal", "lattice": [[4.827, 0.000, 0.000], [0.000, 4.827, 0.000], [0.000, 0.000, 4.746]], "species": ["Ca", "Nb", "Nb", "Cr", "S"], "fractional_positions": [[0.000, 0.000, 0.000], [0.000, 0.500, 0.000], [0.500, 0.000, 0.000], [0.500, 0.500, 0.500], [0.000, 0.000, 0.500]]}


# 3
{"formula": "Ho2Mg2Co", "functional": "PBE", "state": "relaxed", "total_magnetization_mub_per_fu": 0.60, "formation_enthalpy_0k_mev_per_atom": -142, "crystal_system": "tetragonal", "lattice": [[-1.685, 1.685, 10.143], [1.685, -1.685, 10.143], [1.685, 1.685, -10.143]], "species": ["Ho", "Ho", "Mg", "Mg", "Co"], "fractional_positions": [[0.080, 0.080, 0.000], [0.920, 0.920, 0.000], [0.299, 0.299, 0.000], [0.701, 0.701, 0.000], [0.500, 0.500, 0.000]]}


# 4
{"formula": "La7Sm2Dy3", "functional": "PBE", "state": "relaxed", "total_magnetization_mub_per_fu": 0.00, "formation_enthalpy_0k_mev_per_atom": 61, "crystal_system": "monoclinic", "lattice": [[6.564, 0.000, 0.000], [0.000, 3.597, 0.000], [-1.729, 0.000, 17.770]], "species": ["La", "La", "La", "La", "La", "La", "La", "Sm", "Sm", "Dy", "Dy", "Dy"], "fractional_positions": [[0.000, 0.000, 0.000], [0.227, 0.500, 0.172], [0.262, 0.500, 0.491], [0.279, 0.000, 0.834], [0.721, 0.000, 0.166], [0.738, 0.500, 0.509], [0.773, 0.500, 0.828], [0.059, 0.500, 0.670], [0.941, 0.500, 0.330], [0.457, 0.000, 0.338], [0.500, 0.500, 0.000], [0.543, 0.000, 0.662]]}


# 5
{"formula": "AsRh4Br", "functional": "PBE", "state": "relaxed", "e_form_raw_ev_per_atom": 0.68, "total_magnetization_mub_per_fu": 1.74, "crystal_system": "cubic", "lattice": [[0.000, 3.714, 3.714], [3.714, 0.000, 3.714], [3.714, 3.714, 0.000]], "species": ["As", "Rh", "Rh", "Rh", "Rh", "Br"], "fractional_positions": [[0.000, 0.000, 0.000], [0.124, 0.625, 0.625], [0.625, 0.124, 0.625], [0.625, 0.625, 0.124], [0.625, 0.625, 0.625], [0.250, 0.250, 0.250]]}


# 6
{"formula": "LiTb4Os2", "functional": "PBE", "state": "relaxed", "total_magnetization_mub_per_fu": 0.00, "formation_enthalpy_0k_mev_per_atom": -217, "crystal_system": "trigonal", "lattice": [[2.440, 1.409, 7.841], [-2.440, 1.409, 7.841], [0.000, -2.818, 7.841]], "species": ["Li", "Tb", "Tb", "Tb", "Tb", "Os", "Os"], "fractional_positions": [[0.000, 0.000, 0.000], [0.128, 0.128, 0.128], [0.379, 0.379, 0.379], [0.621, 0.621, 0.621], [0.872, 0.872, 0.872], [0.252, 0.252, 0.252], [0.748, 0.748, 0.748]]}


# 7
{"formula": "Mn3Nb2", "functional": "PBE", "state": "relaxed", "total_magnetization_mub_per_fu": 1.36, "formation_enthalpy_0k_mev_per_atom": 57, "crystal_system": "orthorhombic", "lattice": [[2.542, -4.396, 0.000], [2.542, 4.396, 0.000], [0.000, 0.000, 6.440]], "species": ["Mn", "Mn", "Mn", "Mn", "Mn", "Mn", "Nb", "Nb", "Nb", "Nb"], "fractional_positions": [[0.000, 0.000, 0.000], [0.154, 0.346, 0.250], [0.346, 0.154, 0.750], [0.500, 0.500, 0.500], [0.654, 0.846, 0.250], [0.846, 0.654, 0.750], [0.165, 0.835, 0.398], [0.335, 0.665, 0.898], [0.665, 0.335, 0.102], [0.835, 0.165, 0.602]]}


# 8
{"formula": "CaMgAs2Br", "functional": "PBE", "state": "relaxed", "e_form_raw_ev_per_atom": -0.36, "total_magnetization_mub_per_fu": 0.00, "polymorph_energy_ev_per_atom": 0.0000, "crystal_system": "tetragonal", "lattice": [[4.973, 0.000, 0.000], [0.000, 4.973, 0.000], [0.000, 0.000, 5.480]], "species": ["Ca", "Mg", "As", "As", "Br"], "fractional_positions": [[0.000, 0.000, 0.000], [0.500, 0.500, 0.500], [0.000, 0.500, 0.500], [0.500, 0.000, 0.500], [0.500, 0.500, 0.000]]}


# 9
{"formula": "AlSi2Sn", "functional": "PBE", "state": "relaxed", "e_form_raw_ev_per_atom": 0.45, "total_magnetization_mub_per_fu": 0.00, "polymorph_energy_ev_per_atom": 0.1900, "crystal_system": "cubic", "lattice": [[0.000, 3.348, 3.348], [3.348, 0.000, 3.348], [3.348, 3.348, 0.000]], "species": ["Al", "Si", "Si", "Sn"], "fractional_positions": [[0.000, 0.000, 0.000], [0.250, 0.250, 0.250], [0.750, 0.750, 0.750], [0.500, 0.500, 0.500]]}


# 10
{"formula": "LiOs2Cl", "functional": "PBE", "state": "relaxed", "e_form_raw_ev_per_atom": 0.85, "total_magnetization_mub_per_fu": 0.00, "polymorph_energy_ev_per_atom": 0.7265, "crystal_system": "trigonal", "lattice": [[1.373, 0.793, 8.996], [-1.373, 0.793, 8.996], [0.000, -1.585, 8.996]], "species": ["Li", "Os", "Os", "Cl"], "fractional_positions": [[0.000, 0.000, 0.000], [0.249, 0.249, 0.249], [0.751, 0.751, 0.751], [0.500, 0.500, 0.500]]}


# 11
{"formula": "PRhS2", "functional": "PBE", "state": "relaxed", "e_form_raw_ev_per_atom": 0.07, "total_magnetization_mub_per_fu": 0.00, "crystal_system": "trigonal", "lattice": [[1.744, 1.007, 7.207], [-1.744, 1.007, 7.207], [0.000, -2.014, 7.207]], "species": ["P", "Rh", "S", "S"], "fractional_positions": [[0.000, 0.000, 0.000], [0.500, 0.500, 0.500], [0.109, 0.109, 0.109], [0.891, 0.891, 0.891]]}


# 12
{"formula": "Li2MgGe3Pt4", "functional": "PBE", "state": "relaxed", "total_magnetization_mub_per_fu": 0.00, "formation_enthalpy_0k_mev_per_atom": -563, "crystal_system": "tetragonal", "lattice": [[3.992, 0.000, 0.000], [0.000, 3.992, 0.000], [0.000, 0.000, 11.269]], "species": ["Li", "Li", "Mg", "Ge", "Ge", "Ge", "Pt", "Pt", "Pt", "Pt"], "fractional_positions": [[0.000, 0.500, 0.249], [0.500, 0.000, 0.751], [0.000, 0.000, 0.500], [0.000, 0.500, 0.861], [0.500, 0.000, 0.139], [0.500, 0.500, 0.500], [0.000, 0.000, 0.000], [0.000, 0.500, 0.647], [0.500, 0.000, 0.353], [0.500, 0.500, 0.000]]}